{"formula": "La12ErCd6", "functional": "PBE", "state": "relaxed", "space_group": "No. 148", "e_form_kcal_per_mol_atoms": -3.2, "energy_ha_per_atom": -0.13885, "mass_density_g_cm3": 6.94, "m_tot_mub_per_fu": 0.00, "lattice": [[8.366, 0.696, 0.834], [-0.580, 8.374, 0.834], [-0.580, -0.676, 8.389]], "species": ["La", "La", "La", "La", "La", "La", "La", "La", "La", "La", "La", "La", "Cd", "Cd", "Cd", "Cd", "Cd", "Cd", "Er"], "fractional_positions": [[0.185, 0.465, 0.566], [0.434, 0.815, 0.535], [0.050, 0.157, 0.392], [0.392, 0.050, 0.157], [0.157, 0.392, 0.050], [0.815, 0.535, 0.434], [0.566, 0.185, 0.465], [0.535, 0.434, 0.815], [0.843, 0.608, 0.950], [0.950, 0.843, 0.608], [0.465, 0.566, 0.185], [0.608, 0.950, 0.843], [0.742, 0.886, 0.250], [0.258, 0.114, 0.750], [0.750, 0.258, 0.114], [0.114, 0.750, 0.258], [0.886, 0.250, 0.742], [0.250, 0.742, 0.886], [0.000, 0.000, 0.000]]}

=====

{"formula": "LaErCd17", "functional": "PBE", "state": "relaxed", "space_group": "No. 160", "e_form_kcal_per_mol_atoms": -3.1, "energy_ha_per_atom": -0.05345, "mass_density_g_cm3": 8.33, "m_tot_mub_per_fu": 0.00, "lattice": [[-5.381, -4.173, 3.560], [3.801, -6.675, 0.201], [2.771, 0.577, 7.144]], "species": ["Cd", "Cd", "Cd", "Cd", "Cd", "Cd", "Cd", "Cd", "Cd", "Cd", "Cd", "Cd", "Cd", "Cd", "Cd", "Cd", "Cd", "La", "Er"], "fractional_positions": [[0.978, 0.978, 0.524], [0.697, 0.003, 0.299], [0.299, 0.697, 0.003], [0.697, 0.299, 0.003], [0.347, 0.347, 0.876], [0.908, 0.908, 0.908], [0.978, 0.524, 0.978], [0.622, 0.205, 0.622], [0.299, 0.003, 0.697], [0.003, 0.697, 0.299], [0.105, 0.105, 0.105], [0.347, 0.876, 0.347], [0.876, 0.347, 0.347], [0.205, 0.622, 0.622], [0.003, 0.299, 0.697], [0.524, 0.978, 0.978], [0.622, 0.622, 0.205], [0.667, 0.667, 0.667], [0.325, 0.325, 0.325]]}

=====

{"formula": "La3Er3Cd2", "functional": "PBE", "state": "relaxed", "space_group": "No. 63", "e_form_kcal_per_mol_atoms": -1.6, "energy_ha_per_atom": -0.14182, "mass_density_g_cm3": 7.49, "m_tot_mub_per_fu": 0.00, "lattice": [[5.316, 0.000, 0.000], [-2.658, 5.916, 0.000], [0.000, 0.000, 16.123]], "species": ["Er", "Er", "Er", "Er", "Er", "Er", "Cd", "Cd", "Cd", "Cd", "La", "La", "La", "La", "La", "La"], "fractional_positions": [[0.642, 0.283, 0.038], [0.549, 0.099, 0.750], [0.642, 0.283, 0.462], [0.358, 0.717, 0.962], [0.451, 0.901, 0.250], [0.358, 0.717, 0.538], [0.759, 0.517, 0.628], [0.241, 0.483, 0.372], [0.759, 0.517, 0.872], [0.241, 0.483, 0.128], [0.962, 0.924, 0.106], [0.038, 0.076, 0.606], [0.730, 0.459, 0.250], [0.038, 0.076, 0.894], [0.962, 0.924, 0.394], [0.270, 0.541, 0.750]]}

=====

{"formula": "LaEr3Cd6", "functional": "PBE", "state": "relaxed", "space_group": "No. 11", "e_form_kcal_per_mol_atoms": -6.4, "energy_ha_per_atom": -0.09873, "mass_density_g_cm3": 8.45, "m_tot_mub_per_fu": 0.00, "lattice": [[5.213, 0.000, 0.000], [0.000, 8.797, -2.765], [0.000, 0.132, 11.232]], "species": ["Cd", "Cd", "Cd", "Cd", "Cd", "Cd", "Cd", "Cd", "Cd", "Cd", "Cd", "Cd", "Er", "Er", "Er", "Er", "Er", "Er", "La", "La"], "fractional_positions": [[0.750, 0.357, 0.287], [0.750, 0.173, 0.698], [0.250, 0.827, 0.302], [0.750, 0.742, 0.483], [0.250, 0.148, 0.201], [0.250, 0.258, 0.517], [0.750, 0.946, 0.086], [0.250, 0.054, 0.914], [0.250, 0.452, 0.100], [0.750, 0.852, 0.799], [0.250, 0.643, 0.713], [0.750, 0.548, 0.900], [0.250, 0.526, 0.394], [0.250, 0.761, 0.004], [0.750, 0.474, 0.606], [0.750, 0.239, 0.996], [0.250, 0.353, 0.807], [0.750, 0.647, 0.193], [0.250, 0.939, 0.615], [0.750, 0.061, 0.385]]}